{
  "formula": "Fe2Tc2Sb",
  "functional": "PBE",
  "state": "optimized geometry",
  "lattice_angstrom": [[-2.616, 3.067, -6.085], [-6.497, 0.846, 3.218], [0.805, 2.570, 0.949]],
  "species": ["Sb", "Sb", "Tc", "Tc", "Tc", "Tc", "Fe", "Fe", "Fe", "Fe"],
  "frac_coords": [[0.000, 0.000, 0.000], [0.500, 0.500, 0.000], [0.368, 0.868, 0.000], [0.868, 0.632, 0.000], [0.632, 0.132, 0.000], [0.132, 0.368, 0.000], [0.154, 0.654, 0.500], [0.654, 0.846, 0.500], [0.846, 0.346, 0.500], [0.346, 0.154, 0.500]],
  "e_above_lowest_polymorph_kcal_per_mol_atoms": 1.07,
  "magmom_total_mub_per_cell": 6.488,
  "n_ef_per_ev_cell": 11.633,
  "space_group": "No. 127",
  "e_tot_ev_per_atom": -7.954
}

{
  "formula": "LaYPdCl2",
  "functional": "PBE",
  "state": "optimized geometry",
  "lattice_angstrom": [[-3.831, -3.088, -2.166], [-0.871, -2.360, 4.905], [-3.675, 3.751, 1.152]],
  "species": ["Y", "Cl", "Cl", "Pd", "La"],
  "frac_coords": [[0.500, 0.500, 0.500], [0.000, 0.000, 0.500], [0.500, 0.000, 0.000], [0.000, 0.500, 0.000], [0.000, 0.000, 0.000]],
  "magmom_total_mub_per_cell": 0.000,
  "n_ef_per_ev_cell": 2.555,
  "space_group": "No. 123",
  "e_tot_ev_per_atom": -4.822
}

{
  "formula": "Ti4HgN",
  "functional": "PBE",
  "state": "optimized geometry",
  "lattice_angstrom": [[3.977, 0.000, 0.000], [0.000, 3.977, 0.000], [0.000, 0.000, 6.834]],
  "species": ["Ti", "Ti", "Ti", "Ti", "Hg", "N"],
  "frac_coords": [[0.500, 0.500, 0.808], [0.500, 0.500, 0.192], [0.500, 0.000, 0.500], [0.000, 0.500, 0.500], [0.000, 0.000, 0.000], [0.500, 0.500, 0.500]],
  "e_above_lowest_polymorph_kcal_per_mol_atoms": 8.24,
  "magmom_total_mub_per_cell": 2.883,
  "n_ef_per_ev_cell": 8.170,
  "space_group": "No. 123",
  "e_tot_ev_per_atom": -6.787
}

{
  "formula": "ScPOs2",
  "functional": "PBE",
  "state": "optimized geometry",
  "lattice_angstrom": [[3.047, 0.000, 0.000], [0.000, 4.310, 0.000], [0.000, 0.000, 4.578]],
  "species": ["Sc", "P", "Os", "Os"],
  "frac_coords": [[0.000, 0.500, 0.500], [0.500, 0.500, 0.000], [0.000, 0.000, 0.000], [0.500, 0.000, 0.500]],
  "magmom_total_mub_per_cell": 0.000,
  "ef_ev_per_fu": 0.0,
  "n_ef_per_ev_cell": 3.740,
  "space_group": "No. 47",
  "e_tot_ev_per_atom": -8.545
}

{
  "formula": "CeRe2N5",
  "functional": "PBE",
  "state": "optimized geometry",
  "lattice_angstrom": [[5.790, 0.000, 0.000], [0.000, 5.790, 0.000], [-2.895, -2.895, 5.200]],
  "species": ["Ce", "Ce", "Re", "Re", "Re", "Re", "N", "N", "N", "N", "N", "N", "N", "N", "N", "N"],
  "frac_coords": [[0.750, 0.750, 0.500], [0.250, 0.250, 0.500], [0.152, 0.348, 0.000], [0.652, 0.152, 0.000], [0.348, 0.848, 0.000], [0.848, 0.652, 0.000], [0.525, 0.728, 0.754], [0.772, 0.975, 0.246], [0.000, 0.000, 0.000], [0.500, 0.500, 0.000], [0.228, 0.025, 0.754], [0.728, 0.228, 0.754], [0.025, 0.525, 0.754], [0.272, 0.772, 0.246], [0.975, 0.475, 0.246], [0.475, 0.272, 0.246]],
  "magmom_total_mub_per_cell": 0.000,
  "n_ef_per_ev_cell": 8.945,
  "space_group": "No. 140",
  "e_tot_ev_per_atom": -9.162
}

{
  "formula": "CaGaH",
  "functional": "PBE",
  "state": "optimized geometry",
  "lattice_angstrom": [[-1.416, -3.946, -0.952], [2.797, 0.328, -5.521], [4.177, -1.650, 0.211]],
  "species": ["H", "H", "Ca", "Ca", "Ga", "Ga"],
  "frac_coords": [[0.477, 0.015, 0.751], [0.523, 0.985, 0.249], [0.735, 0.288, 0.348], [0.265, 0.712, 0.652], [0.786, 0.832, 0.088], [0.214, 0.168, 0.912]],
  "e_above_lowest_polymorph_kcal_per_mol_atoms": 2.86,
  "magmom_total_mub_per_cell": 0.000,
  "n_ef_per_ev_cell": 2.663,
  "space_group": "No. 2",
  "e_tot_ev_per_atom": -3.067
}

{
  "formula": "Na2ZnPt",
  "functional": "PBE",
  "state": "optimized geometry",
  "lattice_angstrom": [[-2.876, 1.354, 2.489], [0.380, -3.330, 2.250], [6.389, 4.008, 8.475]],
  "species": ["Na", "Na", "Na", "Na", "Zn", "Zn", "Pt", "Pt"],
  "frac_coords": [[0.631, 0.125, 0.250], [0.119, 0.625, 0.250], [0.375, 0.369, 0.750], [0.875, 0.881, 0.750], [0.500, 0.500, 0.000], [0.250, 0.750, 0.500], [0.000, 0.000, 0.000], [0.750, 0.250, 0.500]],
  "magmom_total_mub_per_cell": 0.000,
  "ef_ev_per_fu": 0.3,
  "n_ef_per_ev_cell": 3.350,
  "space_group": "No. 122",
  "e_tot_ev_per_atom": -2.401
}